! KGdO2, optimized geometry, DFT PBE; values from VASP
! E_form (uncorrected) ... -2.696 eV per atom
! DOS(E_F) ... 0.00 states/eV per atom
&SYSTEM
  ibrav = 0, nat = 4, ntyp = 3
/
ATOMIC_SPECIES
Gd 157.25 Gd.upf
O 16.00 O.upf
K 39.10 K.upf
CELL_PARAMETERS angstrom
-6.007 -2.727 -0.285
-4.950 -3.104 3.076
-6.299 -0.017 1.979
ATOMIC_POSITIONS crystal
Gd 0.500 0.500 0.500
O 0.771 0.771 0.771
K 0.000 0.000 0.000
O 0.229 0.229 0.229



! Y3Ga8Pd3, optimized geometry, DFT PBE; values from VASP
! E ... -4.945 eV per atom
! DOS(E_F) ... 0.47 states/eV per atom
&SYSTEM
  ibrav = 0, nat = 14, ntyp = 3
/
ATOMIC_SPECIES
Pd 106.42 Pd.upf
Ga 69.72 Ga.upf
Y 88.91 Y.upf
CELL_PARAMETERS angstrom
-2.212 2.416 -2.710
-0.220 -4.282 -6.973
-7.413 -3.453 -0.363
ATOMIC_POSITIONS crystal
Pd 0.500 0.000 0.000
Pd 0.000 0.213 0.787
Ga 0.629 0.089 0.653
Ga 0.371 0.911 0.347
Y 0.500 0.500 0.500
Ga 0.835 0.536 0.794
Pd 0.000 0.787 0.213
Y 0.815 0.185 0.185
Ga 0.165 0.464 0.206
Ga 0.371 0.347 0.911
Ga 0.835 0.794 0.536
Ga 0.165 0.206 0.464
Y 0.185 0.815 0.815
Ga 0.629 0.653 0.089



! DySi3Ni10, optimized geometry, DFT PBE; values from VASP
! E_form (uncorrected) ... -0.369 eV per atom
! DOS(E_F) ... 0.74 states/eV per atom
&SYSTEM
  ibrav = 0, nat = 28, ntyp = 3
/
ATOMIC_SPECIES
Si 28.09 Si.upf
Ni 58.69 Ni.upf
Dy 162.50 Dy.upf
CELL_PARAMETERS angstrom
-5.550 -2.909 -5.000
-5.389 -5.313 2.646
-7.676 2.155 0.839
ATOMIC_POSITIONS crystal
Si 0.264 0.264 0.736
Si 0.736 0.736 0.264
Ni 0.000 0.352 0.648
Ni 0.000 0.352 0.000
Ni 0.648 0.352 0.000
Ni 0.614 0.614 0.614
Ni 0.386 0.386 0.843
Ni 0.386 0.386 0.386
Ni 0.648 0.000 0.352
Ni 0.157 0.614 0.614
Ni 0.648 0.000 0.000
Ni 0.352 0.000 0.648
Dy 0.250 0.250 0.250
Si 0.736 0.264 0.264
Ni 0.000 0.000 0.648
Ni 0.000 0.648 0.000
Ni 0.000 0.000 0.352
Ni 0.352 0.648 0.000
Si 0.264 0.736 0.264
Si 0.736 0.264 0.736
Si 0.264 0.736 0.736
Ni 0.614 0.157 0.614
Ni 0.000 0.648 0.352
Ni 0.352 0.000 0.000
Ni 0.386 0.843 0.386
Ni 0.843 0.386 0.386
Dy 0.750 0.750 0.750
Ni 0.614 0.614 0.157



! GaAs3C, optimized geometry, DFT PBE; values from VASP
! E ... -3.225 eV per atom
! DOS(E_F) ... 1.05 states/eV per atom
&SYSTEM
  ibrav = 0, nat = 5, ntyp = 3
/
ATOMIC_SPECIES
As 74.92 As.upf
C 12.01 C.upf
Ga 69.72 Ga.upf
CELL_PARAMETERS angstrom
-0.621 -4.749 -0.868
4.764 -0.462 -0.882
0.778 -0.962 4.707
ATOMIC_POSITIONS crystal
As 0.500 0.000 0.000
As 0.000 0.500 0.000
C 0.500 0.500 0.500
As 0.000 0.000 0.500
Ga 0.000 0.000 0.000



! Ca3SnRh, optimized geometry, DFT PBE; values from VASP
! E ... -3.963 eV per atom
! DOS(E_F) ... 0.38 states/eV per atom
&SYSTEM
  ibrav = 0, nat = 10, ntyp = 3
/
ATOMIC_SPECIES
Rh 102.91 Rh.upf
Sn 118.71 Sn.upf
Ca 40.08 Ca.upf
CELL_PARAMETERS angstrom
5.800 0.188 -1.228
-2.580 5.198 -1.228
-0.078 -0.132 8.854
ATOMIC_POSITIONS crystal
Rh 0.750 0.750 0.000
Sn 0.710 0.210 0.500
Ca 0.699 0.199 0.899
Ca 0.697 0.586 0.283
Ca 0.086 0.197 0.283
Sn 0.290 0.790 0.500
Rh 0.250 0.250 0.000
Ca 0.301 0.801 0.101
Ca 0.914 0.803 0.717
Ca 0.303 0.414 0.717



! LaPIr5, optimized geometry, DFT PBE; values from VASP
! E ... -7.772 eV per atom
! DOS(E_F) ... 0.64 states/eV per atom
&SYSTEM
  ibrav = 0, nat = 7, ntyp = 3
/
ATOMIC_SPECIES
Ir 192.22 Ir.upf
La 138.91 La.upf
P 30.97 P.upf
CELL_PARAMETERS angstrom
-0.766 -3.870 0.171
3.775 -0.785 -0.855
1.818 -0.005 8.035
ATOMIC_POSITIONS crystal
Ir 0.000 0.500 0.791
Ir 0.500 0.000 0.209
Ir 0.000 0.500 0.209
La 0.000 0.000 0.500
Ir 0.500 0.500 0.000
Ir 0.500 0.000 0.791
P 0.000 0.000 0.000



! HfMnH3, optimized geometry, DFT PBE; values from VASP
! E ... -6.034 eV per atom
! DOS(E_F) ... 0.30 states/eV per atom
&SYSTEM
  ibrav = 0, nat = 20, ntyp = 3
/
ATOMIC_SPECIES
Mn 54.94 Mn.upf
H 1.01 H.upf
Hf 178.49 Hf.upf
CELL_PARAMETERS angstrom
-4.324 -0.798 -1.068
-0.781 -2.421 4.970
-1.052 7.027 -0.993
ATOMIC_POSITIONS crystal
Mn 0.237 0.626 0.457
H 0.498 0.160 0.162
Hf 0.242 0.002 0.332
Mn 0.763 0.374 0.543
H 0.002 0.660 0.662
H 0.745 0.988 0.336
H 0.502 0.840 0.838
H 0.755 0.488 0.836
H 0.604 0.607 0.467
Hf 0.258 0.502 0.832
H 0.245 0.512 0.164
H 0.396 0.393 0.533
Hf 0.758 0.998 0.668
H 0.896 0.107 0.967
H 0.255 0.012 0.664
Mn 0.263 0.126 0.957
H 0.998 0.340 0.338
H 0.104 0.893 0.033
Hf 0.742 0.498 0.168
Mn 0.737 0.874 0.043



! Mg2InPdPt5, optimized geometry, DFT PBE; values from VASP
! E ... -4.738 eV per atom
! DOS(E_F) ... 0.67 states/eV per atom
&SYSTEM
  ibrav = 0, nat = 18, ntyp = 4
/
ATOMIC_SPECIES
Pt 195.08 Pt.upf
In 114.82 In.upf
Pd 106.42 Pd.upf
Mg 24.30 Mg.upf
CELL_PARAMETERS angstrom
7.454 0.000 0.000
0.000 7.454 0.000
-3.727 -3.727 5.619
ATOMIC_POSITIONS crystal
Pt 0.000 0.000 0.000
In 0.250 0.250 0.500
Pd 0.250 0.750 0.500
Pt 0.926 0.426 0.258
In 0.750 0.750 0.500
Mg 0.613 0.113 0.000
Mg 0.887 0.613 0.000
Pt 0.426 0.333 0.258
Pd 0.750 0.250 0.500
Pt 0.167 0.074 0.742
Pt 0.833 0.926 0.258
Pt 0.667 0.167 0.742
Pt 0.500 0.500 0.000
Pt 0.074 0.574 0.742
Pt 0.574 0.667 0.742
Mg 0.113 0.387 0.000
Mg 0.387 0.887 0.000
Pt 0.333 0.833 0.258



For the records above, the corresponding density values read 5.55, 7.35, 7.60, 4.41, 4.21, 14.62, 10.20, 13.25 g/cm³.